[1]
PuNi3Ge2 | PBE | optimized geometry

total magnetization = 5.4 μB per formula unit
N(E_F) = 49.79 states/eV per cell
V = 15.59 Å³/atom
ΔH_f (0 K) = -229 kJ/mol of formula units

The structure in CIF format:
```
data_PuNi3Ge2
_cell_length_a 14.921
_cell_length_b 3.850
_cell_length_c 7.198
_cell_angle_alpha 90.00
_cell_angle_beta 115.21
_cell_angle_gamma 90.00
_symmetry_space_group_name_H-M 'C 1 2/m 1'
_symmetry_Int_Tables_number 12
loop_
_symmetry_equiv_pos_as_xyz
'x,y,z'
'-x,-y,-z'
'-x,y,-z'
'x,-y,z'
'x+1/2,y+1/2,z'
'-x+1/2,-y+1/2,-z'
'-x+1/2,y+1/2,-z'
'x+1/2,-y+1/2,z'
loop_
_atom_site_label
_atom_site_type_symbol
_atom_site_fract_x
_atom_site_fract_y
_atom_site_fract_z
Pu1 Pu 0.152 0.000 0.067
Ni1 Ni 0.040 0.000 0.379
Ni2 Ni 0.088 0.500 0.658
Ni3 Ni 0.186 0.500 0.450
Ge1 Ge 0.022 0.500 0.188
Ge2 Ge 0.190 0.000 0.682
```



[2]
TlHgSbPb2 | PBE | optimized geometry

energy = -55.59 eV for the cell shown
total magnetization = 0.0 μB per formula unit
N(E_F) = 9.89 states/eV per cell
V = 33.65 Å³/atom

The structure in CIF format:
```
data_TlHgSbPb2
_cell_length_a 6.861
_cell_length_b 14.411
_cell_length_c 6.807
_cell_angle_alpha 90.00
_cell_angle_beta 90.00
_cell_angle_gamma 90.00
_symmetry_space_group_name_H-M 'C m c m'
_symmetry_Int_Tables_number 63
_symmetry_space_group_name_Hall '-C 2c 2'
loop_
_atom_site_label
_atom_site_type_symbol
_atom_site_fract_x
_atom_site_fract_y
_atom_site_fract_z
Tl1 Tl 0.000 0.243 0.250
Hg1 Hg 0.000 0.353 0.750
Sb1 Sb 0.000 0.151 0.750
Pb1 Pb 0.246 0.000 0.000
```



[3]
TmAlPt | PBE | optimized geometry

total magnetization = 0.0 μB per formula unit
N(E_F) = 3.54 states/eV per cell
V = 19.17 Å³/atom
ΔH_f (0 K) = -255 kJ/mol of formula units

The structure in CIF format:
```
data_TmAlPt
_cell_length_a 3.265
_cell_length_b 3.265
_cell_length_c 10.785
_cell_angle_alpha 90.00
_cell_angle_beta 90.00
_cell_angle_gamma 90.00
_symmetry_space_group_name_H-M 'I 4 m m'
_symmetry_Int_Tables_number 107
_symmetry_space_group_name_Hall 'I 4 -2'
loop_
_atom_site_label
_atom_site_type_symbol
_atom_site_fract_x
_atom_site_fract_y
_atom_site_fract_z
Tm1 Tm 0.000 0.000 0.000
Al1 Al 0.000 0.000 0.703
Pt1 Pt 0.000 0.000 0.323
```



[4]
NdDyHo2 | PBE | optimized geometry

total magnetization = 0.0 μB per formula unit
distance to the lowest polymorph of the same formula = 0.022 eV/atom
N(E_F) = 5.73 states/eV per cell
V = 32.07 Å³/atom
ΔH_f (0 K) = 8 kJ/mol of formula units

The structure in CIF format:
```
data_NdDyHo2
_cell_length_a 5.046
_cell_length_b 5.046
_cell_length_c 5.037
_cell_angle_alpha 90.00
_cell_angle_beta 90.00
_cell_angle_gamma 90.00
_symmetry_space_group_name_H-M 'P 4/m m m'
_symmetry_Int_Tables_number 123
_symmetry_space_group_name_Hall '-P 4 2'
loop_
_atom_site_label
_atom_site_type_symbol
_atom_site_fract_x
_atom_site_fract_y
_atom_site_fract_z
Nd1 Nd 0.000 0.000 0.000
Dy1 Dy 0.500 0.500 0.000
Ho1 Ho 0.000 0.500 0.500
```



[5]
CaAg4Pd | PBE | optimized geometry

total magnetization = 0.0 μB per formula unit
distance to the lowest polymorph of the same formula = 0.000 eV/atom
N(E_F) = 5.01 states/eV per cell
V = 19.78 Å³/atom
ΔH_f (0 K) = -113 kJ/mol of formula units

The structure in CIF format:
```
data_CaAg4Pd
_cell_length_a 7.801
_cell_length_b 7.801
_cell_length_c 7.801
_cell_angle_alpha 90.00
_cell_angle_beta 90.00
_cell_angle_gamma 90.00
_symmetry_space_group_name_H-M 'F -4 3 m'
_symmetry_Int_Tables_number 216
_symmetry_space_group_name_Hall 'F -4 2 3'
loop_
_atom_site_label
_atom_site_type_symbol
_atom_site_fract_x
_atom_site_fract_y
_atom_site_fract_z
Ca1 Ca 0.000 0.000 0.000
Ag1 Ag 0.125 0.125 0.625
Pd1 Pd 0.250 0.250 0.250
```



[6]
AgIO2F | PBE | optimized geometry

energy = -11.54 eV for the cell shown
total magnetization = 1.1 μB per formula unit
N(E_F) = 6.02 states/eV per cell
V = 17.02 Å³/atom

The structure in CIF format:
```
data_AgIO2F
_cell_length_a 4.526
_cell_length_b 4.526
_cell_length_c 4.154
_cell_angle_alpha 90.00
_cell_angle_beta 90.00
_cell_angle_gamma 90.00
_symmetry_space_group_name_H-M 'P 4/m m m'
_symmetry_Int_Tables_number 123
_symmetry_space_group_name_Hall '-P 4 2'
loop_
_atom_site_label
_atom_site_type_symbol
_atom_site_fract_x
_atom_site_fract_y
_atom_site_fract_z
Ag1 Ag 0.000 0.000 0.000
I1 I 0.500 0.500 0.000
O1 O 0.000 0.500 0.500
F1 F 0.500 0.500 0.500
```